# Na6Hg5 | Alexandria via LeMat-Bulk | GGA-PBE | optimized geometry
# Mass density: 6.2 Mg/m³
# Total energy: -0.07901 Ry per atom
data_Na6Hg5
_chemical_formula_sum 'Na12 Hg10'
_cell_length_a 5.168
_cell_length_b 15.408
_cell_length_c 7.672
_cell_angle_alpha 90.00
_cell_angle_beta 90.00
_cell_angle_gamma 90.00
_symmetry_space_group_name_H-M 'C m m m'
_symmetry_Int_Tables_number 65
_symmetry_space_group_name_Hall '-C 2 2'
loop_
_atom_site_label
_atom_site_type_symbol
_atom_site_fract_x
_atom_site_fract_y
_atom_site_fract_z
_atom_site_occupancy
Na1 Na 0.000 0.000 0.236 1
Na2 Na 0.000 0.340 0.244 1
Hg1 Hg 0.000 0.171 0.500 1
Hg2 Hg 0.000 0.176 0.000 1
Hg3 Hg 0.000 0.500 0.500 1